1.
# PBE Y3Mg3TlCuPt, relaxed
# Raw total energy (eV/atom): -4.538
data_Y3Mg3TlCuPt
_chemical_formula_sum 'Y3 Mg3 Tl1 Cu1 Pt1'
_cell_length_a 7.7743
_cell_length_b 7.7743
_cell_length_c 3.9385
_cell_angle_alpha 90.00
_cell_angle_beta 90.00
_cell_angle_gamma 120.00
_space_group_name_H-M_alt 'P -6'
_space_group_IT_number 174
_space_group_name_Hall 'P -6'
loop_
_atom_site_label
_atom_site_fract_x
_atom_site_fract_y
_atom_site_fract_z
Y1 0.0898 0.7269 0.0000
Mg1 0.4259 0.0931 0.5000
Tl1 0.0000 0.0000 0.5000
Cu1 0.6667 0.3333 0.0000
Pt1 0.3333 0.6667 0.5000



2.
# PBE Al2InTc, relaxed
# Raw total energy (eV/atom): -4.861
data_Al2InTc
_chemical_formula_sum 'Al8 In4 Tc4'
_cell_length_a 6.4426
_cell_length_b 6.4426
_cell_length_c 6.4426
_cell_angle_alpha 90.00
_cell_angle_beta 90.00
_cell_angle_gamma 90.00
_space_group_name_H-M_alt 'F -4 3 m'
_space_group_IT_number 216
_space_group_name_Hall 'F -4 2 3'
loop_
_atom_site_label
_atom_site_fract_x
_atom_site_fract_y
_atom_site_fract_z
Al1 0.0000 0.0000 0.0000
Al2 0.2500 0.2500 0.2500
In1 0.0000 0.0000 0.5000
Tc1 0.2500 0.2500 0.7500